Entry 1:
Crystalline LaCe2N3 at its relaxed geometry, computed with PBE.

a = 3.608 Å, b = 5.152 Å, c = 6.278 Å
α = 114.22°, β = 106.70°, γ = 90.00°
Each line ends with the local moment (μB).
Atoms (fractional coordinates):
La1 0.500 0.500 0.500  0.02
Ce1 0.833 0.833 0.166  0.18
Ce2 0.167 0.167 0.834  0.18
N1 0.818 0.318 0.137  -0.01
N2 0.182 0.682 0.863  -0.01
N3 0.500 0.000 0.500  -0.01

Calculated values
For the formation energy from raw total energies, the calculation gives -8.640 eV per formula unit. Its density is 7.6 g/cm³. The value obtained for the distance to the lowest polymorph of the same formula is 0.000 eV/atom. As for the volume: 101.0 Å³ per cell. As for the density of states at the Fermi level: 5.0 states/eV per cell. The calculation puts the total energy at -8.40 eV per atom.



Entry 2:
Crystalline PrErMg2Pd4 at its relaxed geometry, computed with PBE.

a = 4.595 Å, b = 4.595 Å, c = 9.289 Å
α = 75.68°, β = 75.68°, γ = 60.00°
Atoms (fractional coordinates):
Pr1 0.000 0.000 0.000
Er1 0.500 0.500 0.500
Mg1 0.756 0.756 0.733
Mg2 0.244 0.244 0.267
Pd1 0.394 0.394 0.817
Pd2 0.881 0.881 0.356
Pd3 0.119 0.119 0.644
Pd4 0.606 0.606 0.183

Calculated values
Its density is 8.0 g/cm³. As for the volume: 162.8 Å³ per cell. The formation energy from the elements comes out at -0.765 eV per atom. As for the density of states at the Fermi level: 3.9 states/eV per cell. The calculation puts the total energy at -4.93 eV per atom.



Entry 3:
Crystalline Rb3SnF8 at its relaxed geometry, computed with PBE.

a = 6.864 Å, b = 6.799 Å, c = 6.864 Å
α = 59.68°, β = 90.00°, γ = 120.32°
Each line ends with the local moment (μB).
Atoms (fractional coordinates):
Rb1 0.750 0.500 0.750  0.00
Rb2 0.250 0.500 0.250  0.00
Rb3 0.500 0.000 0.500  0.00
Sn1 0.000 0.000 0.000  -0.01
F1 0.313 0.387 0.926  0.18
F2 0.074 0.387 0.687  0.18
F3 0.687 0.613 0.313  0.18
F4 0.926 0.613 0.074  0.18
F5 0.743 0.900 0.843  0.04
F6 0.157 0.900 0.257  0.04
F7 0.257 0.100 0.743  0.04
F8 0.843 0.100 0.157  0.04

Calculated values
For the formation energy from raw total energies, the calculation gives -29.297 eV per formula unit. Its density is 3.9 g/cm³. As for the volume: 224.3 Å³ per cell. As for the density of states at the Fermi level: 6.5 states/eV per cell. The calculation puts the total energy at -4.26 eV per atom.



Entry 4:
Crystalline AcCe2Sc at its relaxed geometry, computed with PBE.

a = 5.718 Å, b = 5.718 Å, c = 5.718 Å
α = 60.00°, β = 60.00°, γ = 60.00°
Each line ends with the local moment (μB).
Atoms (fractional coordinates):
Sc1 0.500 0.500 0.500  0.42
Ac1 0.000 0.000 0.000  0.16
Ce1 0.250 0.250 0.250  1.08
Ce2 0.750 0.750 0.750  1.08

Calculated values
Its density is 6.9 g/cm³. The value obtained for the distance to the lowest polymorph of the same formula is 0.164 eV/atom. As for the volume: 132.2 Å³ per cell. The formation energy from the elements comes out at 0.331 eV per atom. As for the density of states at the Fermi level: 15.5 states/eV per cell. The calculation puts the total energy at -5.25 eV per atom.



Entry 5:
Crystalline NaCaS3 at its relaxed geometry, computed with PBE.

a = 4.930 Å, b = 4.930 Å, c = 4.930 Å
α = 90.00°, β = 90.00°, γ = 90.00°
Each line ends with the local moment (μB).
Atoms (fractional coordinates):
Na1 0.000 0.000 0.000  0.02
Ca1 0.500 0.500 0.500  -0.01
S1 0.000 0.500 0.000  0.62
S2 0.000 0.000 0.500  0.52
S3 0.500 0.000 0.000  0.52

Calculated values
For the formation energy from raw total energies, the calculation gives -0.832 eV per formula unit. Its density is 2.2 g/cm³. The value obtained for the distance to the lowest polymorph of the same formula is 0.192 eV/atom. As for the volume: 119.8 Å³ per cell. As for the density of states at the Fermi level: 4.5 states/eV per cell. The calculation puts the total energy at -3.31 eV per atom.



Entry 6:
Crystalline BeCr2Au at its relaxed geometry, computed with PBE.

a = 4.187 Å, b = 4.187 Å, c = 4.187 Å
α = 60.00°, β = 60.00°, γ = 60.00°
Atoms (fractional coordinates):
Cr1 0.250 0.250 0.250
Cr2 0.750 0.750 0.750
Au1 0.500 0.500 0.500
Be1 0.000 0.000 0.000

Calculated values
Its density is 9.9 g/cm³. The value obtained for the distance to the lowest polymorph of the same formula is 0.550 eV/atom. As for the volume: 51.9 Å³ per cell. The formation energy from the elements comes out at 0.611 eV per atom. As for the density of states at the Fermi level: 3.3 states/eV per cell. The calculation puts the total energy at -5.95 eV per atom.



Entry 7:
Crystalline NiAuBr2 at its relaxed geometry, computed with PBE.

a = 8.101 Å, b = 8.101 Å, c = 8.101 Å
α = 25.38°, β = 25.38°, γ = 25.38°
Each line ends with the local moment (μB).
Atoms (fractional coordinates):
Au1 0.750 0.750 0.750  -0.05
Br1 0.979 0.979 0.979  0.13
Br2 0.521 0.521 0.521  0.13
Ni1 0.250 0.250 0.250  1.02

Calculated values
For the formation energy from raw total energies, the calculation gives 0.708 eV per formula unit. Its density is 8.0 g/cm³. The value obtained for the distance to the lowest polymorph of the same formula is 0.185 eV/atom. As for the volume: 86.0 Å³ per cell. As for the density of states at the Fermi level: 1.4 states/eV per cell. The calculation puts the total energy at -2.92 eV per atom.



Entry 8:
Crystalline ZnGeSeO at its relaxed geometry, computed with PBE.

a = 4.009 Å, b = 4.013 Å, c = 6.560 Å
α = 75.49°, β = 75.98°, γ = 61.08°
Atoms (fractional coordinates):
Zn1 0.627 0.332 0.510
Ge1 0.283 0.980 0.968
Se1 0.324 0.033 0.372
O1 0.541 0.238 0.824

Calculated values
For the formation energy from raw total energies, the calculation gives -2.859 eV per formula unit. Its density is 4.4 g/cm³. The value obtained for the distance to the lowest polymorph of the same formula is 0.079 eV/atom. As for the volume: 88.5 Å³ per cell. As for the density of states at the Fermi level: 0.0 states/eV per cell. The calculation puts the total energy at -4.30 eV per atom.



Entry 9:
Crystalline Mn2CuNiBr at its relaxed geometry, computed with PBE.

a = 4.698 Å, b = 4.651 Å, c = 4.698 Å
α = 90.00°, β = 90.00°, γ = 90.00°
Each line ends with the local moment (μB).
Atoms (fractional coordinates):
Ni1 0.500 0.500 0.500  0.50
Mn1 0.000 0.000 0.500  4.01
Mn2 0.500 0.000 0.000  3.92
Cu1 0.000 0.000 0.000  0.14
Br1 0.000 0.500 0.000  0.07

Calculated values
For the formation energy from raw total energies, the calculation gives 5.937 eV per formula unit. Its density is 5.0 g/cm³. As for the volume: 102.7 Å³ per cell. As for the density of states at the Fermi level: 4.5 states/eV per cell. The calculation puts the total energy at -4.79 eV per atom.



Entry 10:
Crystalline HfCdCl6 at its relaxed geometry, computed with PBE.

a = 6.481 Å, b = 6.482 Å, c = 6.938 Å
α = 62.15°, β = 62.16°, γ = 59.99°
Atoms (fractional coordinates):
Hf1 0.000 0.000 0.000
Cd1 0.500 0.500 0.500
Cl1 0.085 0.390 0.760
Cl2 0.765 0.085 0.760
Cl3 0.610 0.235 0.240
Cl4 0.235 0.915 0.240
Cl5 0.915 0.610 0.240
Cl6 0.390 0.765 0.760

Calculated values
For the formation energy from raw total energies, the calculation gives -12.069 eV per formula unit. Its density is 3.9 g/cm³. The value obtained for the distance to the lowest polymorph of the same formula is 0.012 eV/atom. As for the volume: 212.5 Å³ per cell. As for the density of states at the Fermi level: 0.0 states/eV per cell. The calculation puts the total energy at -4.25 eV per atom.



Entry 11:
Crystalline BaTcNi at its relaxed geometry, computed with PBE.

a = 6.292 Å, b = 6.292 Å, c = 6.292 Å
α = 152.46°, β = 145.70°, γ = 44.54°
Atoms (fractional coordinates):
Ba1 0.999 0.999 0.000
Ni1 0.283 0.283 0.000
Tc1 0.718 0.718 0.000

Calculated values
Its density is 7.5 g/cm³. The value obtained for the distance to the lowest polymorph of the same formula is 0.065 eV/atom. As for the volume: 64.7 Å³ per cell. The formation energy from the elements comes out at 0.638 eV per atom. As for the density of states at the Fermi level: 3.1 states/eV per cell. The calculation puts the total energy at -5.39 eV per atom.



Entry 12:
Crystalline NaCaCuF6 at its relaxed geometry, computed with PBE.

a = 5.624 Å, b = 5.624 Å, c = 9.288 Å
α = 90.00°, β = 90.00°, γ = 120.00°
Each line ends with the local moment (μB).
Atoms (fractional coordinates):
Na1 0.000 0.000 0.000  0.00
Na2 0.000 0.000 0.500  0.00
Ca1 0.333 0.667 0.250  0.00
Ca2 0.667 0.333 0.750  0.00
Cu1 0.667 0.333 0.250  1.08
Cu2 0.333 0.667 0.750  1.08
F1 0.666 0.620 0.135  0.14
F2 0.954 0.334 0.135  0.14
F3 0.334 0.954 0.635  0.14
F4 0.046 0.666 0.865  0.14
F5 0.380 0.334 0.365  0.14
F6 0.954 0.620 0.365  0.14
F7 0.620 0.954 0.865  0.14
F8 0.666 0.046 0.365  0.14
F9 0.046 0.380 0.635  0.14
F10 0.380 0.046 0.135  0.14
F11 0.620 0.666 0.635  0.14
F12 0.334 0.380 0.865  0.14

Calculated values
For the formation energy from raw total energies, the calculation gives -22.879 eV per formula unit. Its density is 3.1 g/cm³. As for the volume: 254.4 Å³ per cell. The calculation puts the total energy at -4.61 eV per atom.



Entry 13:
Crystalline Ti2VIrN at its relaxed geometry, computed with PBE.

a = 4.714 Å, b = 4.653 Å, c = 4.714 Å
α = 90.00°, β = 90.00°, γ = 90.00°
Each line ends with the local moment (μB).
Atoms (fractional coordinates):
N1 0.500 0.500 0.500  -0.34
Ir1 0.000 0.000 0.000  -0.09
Ti1 0.000 0.000 0.500  0.06
Ti2 0.500 0.000 0.000  -0.06
V1 0.000 0.500 0.000  1.69

Calculated values
For the formation energy from raw total energies, the calculation gives 6.984 eV per formula unit. Its density is 5.7 g/cm³. The value obtained for the distance to the lowest polymorph of the same formula is 2.358 eV/atom. As for the volume: 103.4 Å³ per cell. As for the density of states at the Fermi level: 4.8 states/eV per cell. The calculation puts the total energy at -7.02 eV per atom.



Entry 14:
Crystalline Tm2OsC2 at its relaxed geometry, computed with PBE.

a = 5.035 Å, b = 6.409 Å, c = 9.662 Å
α = 90.00°, β = 90.00°, γ = 90.00°
Atoms (fractional coordinates):
Tm1 0.750 0.679 0.554
Tm2 0.250 0.821 0.054
Tm3 0.250 0.321 0.446
Tm4 0.750 0.179 0.946
Tm5 0.750 0.029 0.281
Tm6 0.250 0.471 0.781
Tm7 0.250 0.971 0.719
Tm8 0.750 0.529 0.219
Os1 0.750 0.222 0.633
Os2 0.250 0.278 0.133
Os3 0.250 0.778 0.367
Os4 0.750 0.722 0.867
C1 0.750 0.457 0.759
C2 0.250 0.043 0.259
C3 0.250 0.543 0.241
C4 0.750 0.957 0.741
C5 0.750 0.829 0.057
C6 0.250 0.671 0.557
C7 0.250 0.171 0.943
C8 0.750 0.329 0.443

Calculated values
Its density is 11.8 g/cm³. As for the volume: 311.8 Å³ per cell. The formation energy from the elements comes out at -0.422 eV per atom. As for the density of states at the Fermi level: 9.8 states/eV per cell. The calculation puts the total energy at -8.15 eV per atom.



Entry 15:
Crystalline AlFePCl2 at its relaxed geometry, computed with PBE.

a = 4.961 Å, b = 4.961 Å, c = 4.371 Å
α = 90.00°, β = 90.00°, γ = 90.00°
Each line ends with the local moment (μB).
Atoms (fractional coordinates):
P1 0.000 0.000 0.500  -0.17
Al1 0.500 0.500 0.500  0.00
Fe1 0.000 0.000 0.000  2.37
Cl1 0.000 0.500 0.000  0.02
Cl2 0.500 0.000 0.000  0.02

Calculated values
For the formation energy from raw total energies, the calculation gives 0.604 eV per formula unit. Its density is 2.9 g/cm³. The value obtained for the distance to the lowest polymorph of the same formula is 0.000 eV/atom. As for the volume: 107.6 Å³ per cell. As for the density of states at the Fermi level: 3.9 states/eV per cell. The calculation puts the total energy at -4.14 eV per atom.



Entry 16:
Crystalline Ca2CrCo at its relaxed geometry, computed with PBE.

a = 10.459 Å, b = 10.459 Å, c = 7.709 Å
α = 47.28°, β = 47.28°, γ = 90.00°
Each line ends with the local moment (μB).
Atoms (fractional coordinates):
Cr1 0.500 0.500 0.000  3.08
Cr2 0.250 0.750 0.500  3.08
Ca1 0.799 0.125 0.250  0.02
Ca2 0.951 0.625 0.250  0.02
Ca3 0.375 0.201 0.750  0.01
Ca4 0.875 0.049 0.750  0.01
Co1 0.000 0.000 0.000  -0.13
Co2 0.750 0.250 0.500  -0.13

Calculated values
Its density is 2.7 g/cm³. The value obtained for the distance to the lowest polymorph of the same formula is 0.185 eV/atom. As for the volume: 238.0 Å³ per cell. The formation energy from the elements comes out at 0.570 eV per atom. As for the density of states at the Fermi level: 6.5 states/eV per cell. The calculation puts the total energy at -4.61 eV per atom.